1.
# Cs2RbCa (PBE, relaxed)
data_Cs2RbCa
_space_group_name_H-M_alt 'P 4/m m m'
_space_group_IT_number 123
_space_group_name_Hall '-P 4 2'
_cell_length_a 4.720
_cell_length_b 4.720
_cell_length_c 14.853
_cell_angle_alpha 90.00
_cell_angle_beta 90.00
_cell_angle_gamma 90.00
loop_
_atom_site_label
_atom_site_type_symbol
_atom_site_fract_x
_atom_site_fract_y
_atom_site_fract_z
Cs1 Cs 0.000 0.000 0.220
Rb1 Rb 0.500 0.500 0.500
Ca1 Ca 0.500 0.500 0.000
# Energy of formation: 0.163 eV per atom
# Energy relative to the lowest polymorph listed for this composition: 0 meV per atom
# Energy: -1.0064 eV per atom
# DOS at the Fermi energy: 4.27 states/eV/cell

2.
# CsRb2Ca2 (PBE, relaxed)
data_CsRb2Ca2
_space_group_name_H-M_alt 'P 4/m b m'
_space_group_IT_number 127
_space_group_name_Hall '-P 4 2ab'
_cell_length_a 12.656
_cell_length_b 12.656
_cell_length_c 4.444
_cell_angle_alpha 90.00
_cell_angle_beta 90.00
_cell_angle_gamma 90.00
loop_
_atom_site_label
_atom_site_type_symbol
_atom_site_fract_x
_atom_site_fract_y
_atom_site_fract_z
Cs1 Cs 0.000 0.000 0.000
Rb1 Rb 0.182 0.318 0.500
Ca1 Ca 0.107 0.607 0.000
# Energy of formation: 0.240 eV per atom
# Energy relative to the lowest polymorph listed for this composition: 9 meV per atom
# Energy: -1.1187 eV per atom
# DOS at the Fermi energy: 7.04 states/eV/cell

3.
# CsRb2Ca2 (PBE, relaxed)
data_CsRb2Ca2
_space_group_name_H-M_alt 'I 4/m m m'
_space_group_IT_number 139
_space_group_name_Hall '-I 4 2'
_cell_length_a 5.138
_cell_length_b 5.138
_cell_length_c 30.196
_cell_angle_alpha 90.00
_cell_angle_beta 90.00
_cell_angle_gamma 90.00
loop_
_atom_site_label
_atom_site_type_symbol
_atom_site_fract_x
_atom_site_fract_y
_atom_site_fract_z
Cs1 Cs 0.000 0.000 0.000
Rb1 Rb 0.000 0.000 0.371
Ca1 Ca 0.000 0.500 0.250
# Energy of formation: 0.231 eV per atom
# Energy relative to the lowest polymorph listed for this composition: 0 meV per atom
# Energy: -1.1273 eV per atom
# DOS at the Fermi energy: 12.62 states/eV/cell

4.
# Cs2Rb2Ca (PBE, relaxed)
data_Cs2Rb2Ca
_space_group_name_H-M_alt 'P 4/m b m'
_space_group_IT_number 127
_space_group_name_Hall '-P 4 2ab'
_cell_length_a 11.260
_cell_length_b 11.260
_cell_length_c 7.138
_cell_angle_alpha 90.00
_cell_angle_beta 90.00
_cell_angle_gamma 90.00
loop_
_atom_site_label
_atom_site_type_symbol
_atom_site_fract_x
_atom_site_fract_y
_atom_site_fract_z
Cs1 Cs 0.180 0.320 0.000
Rb1 Rb 0.138 0.638 0.500
Ca1 Ca 0.000 0.000 0.500
# Energy of formation: 0.204 eV per atom
# Energy relative to the lowest polymorph listed for this composition: 0 meV per atom
# Energy: -0.9246 eV per atom
# DOS at the Fermi energy: 11.79 states/eV/cell

5.
# Cs2RbCa (PBE, relaxed)
data_Cs2RbCa
_space_group_name_H-M_alt 'I -4 2 d'
_space_group_IT_number 122
_space_group_name_Hall 'I -4 2bw'
_cell_length_a 12.371
_cell_length_b 12.371
_cell_length_c 9.254
_cell_angle_alpha 90.00
_cell_angle_beta 90.00
_cell_angle_gamma 90.00
loop_
_atom_site_label
_atom_site_type_symbol
_atom_site_fract_x
_atom_site_fract_y
_atom_site_fract_z
Cs1 Cs 0.243 0.250 0.125
Rb1 Rb 0.000 0.000 0.500
Ca1 Ca 0.000 0.000 0.000
# Energy of formation: 0.271 eV per atom
# Energy relative to the lowest polymorph listed for this composition: 109 meV per atom
# Energy: -0.8978 eV per atom
# DOS at the Fermi energy: 16.83 states/eV/cell

6.
# CsRb2Ca2 (PBE, relaxed)
data_CsRb2Ca2
_space_group_name_H-M_alt 'P 4/m b m'
_space_group_IT_number 127
_space_group_name_Hall '-P 4 2ab'
_cell_length_a 12.748
_cell_length_b 12.748
_cell_length_c 4.381
_cell_angle_alpha 90.00
_cell_angle_beta 90.00
_cell_angle_gamma 90.00
loop_
_atom_site_label
_atom_site_type_symbol
_atom_site_fract_x
_atom_site_fract_y
_atom_site_fract_z
Cs1 Cs 0.000 0.000 0.000
Rb1 Rb 0.181 0.319 0.000
Ca1 Ca 0.107 0.607 0.500
# Energy of formation: 0.248 eV per atom
# Energy relative to the lowest polymorph listed for this composition: 17 meV per atom
# Energy: -1.1104 eV per atom
# DOS at the Fermi energy: 6.79 states/eV/cell